Entry 1:
Entry from Alexandria: Cd4Hg2Bi after structural relaxation (GGA-PBE).

The uncorrected energy is -15.5 eV per cell. For the energy above the most stable polymorph in this dataset, the calculation gives 0.15 eV per formula unit. The density of states at the Fermi level comes out at 5.47 states/eV/cell. The value obtained for the formation energy is 0.059 eV/atom.

It has space group Pbam (No. 55), with a = 6.860 Å, b = 11.549 Å, c = 4.814 Å, α = 90.00°, β = 90.00° and γ = 90.00°. The inequivalent atoms are Cd at (0.123, 0.231, 0.000), Cd at (0.229, 0.064, 0.500), Hg at (0.154, 0.816, 0.500) and Bi at (0.000, 0.500, 0.000).

---

Entry 2:
Entry from Alexandria: Cd7Hg4Bi after structural relaxation (GGA-PBE).

The uncorrected energy is -10.9 eV per cell. For the energy above the most stable polymorph in this dataset, the calculation gives 0.20 eV per formula unit. The density of states at the Fermi level comes out at 2.99 states/eV/cell. The value obtained for the formation energy is 0.051 eV/atom.

It has space group P-3m1 (No. 164), with a = 4.7497 Å, b = 4.7497 Å, c = 15.7423 Å, α = 90.00°, β = 90.00° and γ = 120.00°. The inequivalent atoms are Cd at (0.0000, 0.0000, 0.0000), Cd at (0.0000, 0.0000, 0.2425), Cd at (0.3333, 0.6667, 0.1593), Cd at (0.3333, 0.6667, 0.4041), Hg at (0.3333, 0.6667, 0.6769), Hg at (0.3333, 0.6667, 0.9172) and Bi at (0.0000, 0.0000, 0.5000).

---

Entry 3:
Entry from Alexandria: Cd8Hg6Bi after structural relaxation (GGA-PBE).

The uncorrected energy is -12.0 eV per cell. For the energy above the most stable polymorph in this dataset, the calculation gives 0.10 eV per formula unit. The density of states at the Fermi level comes out at 6.62 states/eV/cell. The value obtained for the formation energy is 0.066 eV/atom.

It has space group P-3 (No. 147), with a = 11.5770 Å, b = 11.5770 Å, c = 3.3405 Å, α = 90.00°, β = 90.00° and γ = 120.00°. The inequivalent atoms are Cd at (0.0768, 0.2972, 0.2618), Cd at (0.3333, 0.6667, 0.7170), Hg at (0.0976, 0.6274, 0.2252) and Bi at (0.0000, 0.0000, 0.5000).

---

Entry 4:
Entry from Alexandria: Cd5Hg5Bi2 after structural relaxation (GGA-PBE).

The uncorrected energy is -13.4 eV per cell. The density of states at the Fermi level comes out at 3.99 states/eV/cell. The value obtained for the formation energy is 0.039 eV/atom.

It has space group P-1 (No. 2), with a = 5.675 Å, b = 7.321 Å, c = 8.485 Å, α = 107.63°, β = 96.84° and γ = 104.16°. The inequivalent atoms are Cd at (0.000, 0.000, 0.000), Cd at (0.103, 0.179, 0.381), Cd at (0.260, 0.476, 0.197), Hg at (0.322, 0.644, 0.613), Hg at (0.398, 0.805, 0.038), Hg at (0.500, 0.000, 0.500) and Bi at (0.141, 0.289, 0.774).

---

Entry 5:
Entry from Alexandria: Cd10Hg6Bi after structural relaxation (GGA-PBE).

The uncorrected energy is -14.1 eV per cell. The density of states at the Fermi level comes out at 4.17 states/eV/cell. The value obtained for the formation energy is 0.046 eV/atom.

It has space group P-31m (No. 162), with a = 8.5467 Å, b = 8.5467 Å, c = 6.6836 Å, α = 90.00°, β = 90.00° and γ = 120.00°. The inequivalent atoms are Cd at (0.0000, 0.2781, 0.3370), Cd at (0.3333, 0.6667, 0.0000), Cd at (0.3333, 0.6667, 0.5000), Hg at (0.0000, 0.3761, 0.7961) and Bi at (0.0000, 0.0000, 0.0000).

---

Entry 6:
Entry from Alexandria: Cd2Hg2Bi after structural relaxation (GGA-PBE).

The uncorrected energy is -11.4 eV per cell. For the energy above the most stable polymorph in this dataset, the calculation gives 0.29 eV per formula unit. The density of states at the Fermi level comes out at 3.48 states/eV/cell. The value obtained for the formation energy is 0.119 eV/atom.

It has space group I4/mmm (No. 139), with a = 4.344 Å, b = 4.344 Å, c = 13.837 Å, α = 90.00°, β = 90.00° and γ = 90.00°. The inequivalent atoms are Cd at (0.000, 0.500, 0.250), Hg at (0.000, 0.000, 0.103) and Bi at (0.000, 0.000, 0.500).

---

Entry 7:
Entry from Alexandria: Cd6Hg3Bi after structural relaxation (GGA-PBE).

The uncorrected energy is -39.0 eV per cell. The density of states at the Fermi level comes out at 15.68 states/eV/cell. The value obtained for the formation energy is 0.052 eV/atom.

It has space group Cmc2_1 (No. 36), with a = 7.663 Å, b = 15.520 Å, c = 8.582 Å, α = 90.00°, β = 90.00° and γ = 90.00°. The inequivalent atoms are Cd at (0.000, 0.000, 0.000), Cd at (0.000, 0.277, 0.217), Cd at (0.190, 0.177, 0.473), Cd at (0.232, 0.441, 0.260), Hg at (0.000, 0.452, 0.962), Hg at (0.221, 0.373, 0.617) and Bi at (0.000, 0.222, 0.821).

---

Entry 8:
Entry from Alexandria: Cd7Hg2Bi after structural relaxation (GGA-PBE).

The uncorrected energy is -20.8 eV per cell. For the energy above the most stable polymorph in this dataset, the calculation gives 0.00 eV per formula unit. The density of states at the Fermi level comes out at 5.81 states/eV/cell. The value obtained for the formation energy is 0.047 eV/atom.

It has space group I4/mmm (No. 139), with a = 4.657 Å, b = 4.657 Å, c = 24.245 Å, α = 90.00°, β = 90.00° and γ = 90.00°. The inequivalent atoms are Cd at (0.000, 0.000, 0.000), Cd at (0.000, 0.500, 0.099), Cd at (0.000, 0.500, 0.250), Hg at (0.000, 0.000, 0.174) and Bi at (0.000, 0.000, 0.500).

---

Entry 9:
Entry from Alexandria: Cd7Hg2Bi2 after structural relaxation (GGA-PBE).

The uncorrected energy is -28.4 eV per cell. For the energy above the most stable polymorph in this dataset, the calculation gives 0.00 eV per formula unit. The density of states at the Fermi level comes out at 6.33 states/eV/cell. The value obtained for the formation energy is 0.052 eV/atom.

It has space group C2/m (No. 12), with a = 9.674 Å, b = 11.010 Å, c = 5.964 Å, α = 90.00°, β = 115.30° and γ = 90.00°. The inequivalent atoms are Cd at (0.000, 0.000, 0.000), Cd at (0.114, 0.500, 0.806), Cd at (0.167, 0.234, 0.160), Hg at (0.000, 0.246, 0.500) and Bi at (0.245, 0.500, 0.385).

---

Entry 10:
Entry from Alexandria: CdHgBi4 after structural relaxation (GGA-PBE).

The uncorrected energy is -62.0 eV per cell. The density of states at the Fermi level comes out at 16.67 states/eV/cell. The value obtained for the formation energy is 0.208 eV/atom.

It has space group F-43m (No. 216), with a = 9.328 Å, b = 9.328 Å, c = 9.328 Å, α = 90.00°, β = 90.00° and γ = 90.00°. The inequivalent atoms are Cd at (0.000, 0.000, 0.000), Hg at (0.250, 0.250, 0.750) and Bi at (0.124, 0.124, 0.376).

---

Entry 11:
Entry from Alexandria: Cd5Hg2Bi3 after structural relaxation (GGA-PBE).

The uncorrected energy is -64.8 eV per cell. The density of states at the Fermi level comes out at 14.13 states/eV/cell. The value obtained for the formation energy is 0.062 eV/atom.

It has space group Cmc2_1 (No. 36), with a = 4.409 Å, b = 30.023 Å, c = 8.610 Å, α = 90.00°, β = 90.00° and γ = 90.00°. The inequivalent atoms are Cd at (0.000, 0.054, 0.000), Cd at (0.000, 0.118, 0.409), Cd at (0.000, 0.290, 0.600), Cd at (0.000, 0.305, 0.106), Cd at (0.000, 0.394, 0.258), Hg at (0.000, 0.177, 0.860), Hg at (0.000, 0.482, 0.853), Bi at (0.000, 0.043, 0.639), Bi at (0.000, 0.219, 0.358) and Bi at (0.000, 0.389, 0.643).

---

Entry 12:
Entry from Alexandria: CdHgBi2 after structural relaxation (GGA-PBE).

The uncorrected energy is -25.6 eV per cell. For the energy above the most stable polymorph in this dataset, the calculation gives 0.02 eV per formula unit. The density of states at the Fermi level comes out at 5.89 states/eV/cell. The value obtained for the formation energy is 0.111 eV/atom.

It has space group R3m (No. 160, hexagonal axes), with a = 4.9034 Å, b = 4.9034 Å, c = 17.9695 Å, α = 90.00°, β = 90.00° and γ = 120.00°. The inequivalent atoms are Cd at (0.0000, 0.0000, 0.0000), Hg at (0.0000, 0.0000, 0.1730), Bi at (0.0000, 0.0000, 0.4156) and Bi at (0.0000, 0.0000, 0.5981).